Record 1
The following is a SCAN calculation of SrTlHg4 at its PBEsol-relaxed geometry, from Alexandria via LeMat-Bulk.

Unit cell a=8.527 b=8.527 c=8.527 alpha=90.00 beta=90.00 gamma=90.00
Space group F-43m (No. 216)
Asymmetric unit:
Sr: 0.000 0.000 0.000 [4 per cell]
Tl: 0.250 0.250 0.750 [4 per cell]
Hg: 0.125 0.125 0.375 [16 per cell]

Energy of formation from the pure elements ... -0.29 eV per atom
Size of the total moment ... 0.000 μB per atom
DOS(E_F) ... 0.298 states/eV/atom
Total DFT energy (no corrections) ... -2.2605 hartree per atom

Record 2
The following is a SCAN calculation of Sr3TlHg at its PBEsol-relaxed geometry, from Alexandria via LeMat-Bulk.

Unit cell a=6.104 b=6.104 c=6.104 alpha=90.00 beta=90.00 gamma=90.00
Space group Pm-3m (No. 221)
Asymmetric unit:
Sr: 0.000 0.000 0.500 [3 per cell]
Tl: 0.500 0.500 0.500 [1 per cell]
Hg: 0.000 0.000 0.000 [1 per cell]

Energy of formation from the pure elements ... -0.20 eV per atom
Size of the total moment ... 0.002 μB per atom
DOS(E_F) ... 1.353 states/eV/atom
Total DFT energy (no corrections) ... -1.5313 hartree per atom

Record 3
The following is a SCAN calculation of SrTl2Hg at its PBEsol-relaxed geometry, from Alexandria via LeMat-Bulk.

Unit cell a=3.866 b=4.844 c=6.371 alpha=90.00 beta=101.45 gamma=90.00
Space group Pm (No. 6)
Asymmetric unit:
Sr: 0.000 0.000 0.000 [1 per cell]
Tl: 0.362 0.000 0.523 [1 per cell]
Tl: 0.766 0.500 0.351 [1 per cell]
Hg: 0.434 0.500 0.810 [1 per cell]

Energy of formation from the pure elements ... -0.36 eV per atom
Size of the total moment ... 0.000 μB per atom
DOS(E_F) ... 0.524 states/eV/atom
Total DFT energy (no corrections) ... -2.1736 hartree per atom

Record 4
The following is a SCAN calculation of SrTl2Hg at its PBEsol-relaxed geometry, from Alexandria via LeMat-Bulk.

Unit cell a=3.791 b=5.009 c=6.208 alpha=90.00 beta=100.94 gamma=90.00
Space group P2/m (No. 10)
Asymmetric unit:
Sr: 0.000 0.000 0.000 [1 per cell]
Tl: 0.327 0.500 0.726 [2 per cell]
Hg: 0.500 0.000 0.500 [1 per cell]

Energy of formation from the pure elements ... -0.35 eV per atom
Size of the total moment ... 0.000 μB per atom
DOS(E_F) ... 0.363 states/eV/atom
Total DFT energy (no corrections) ... -2.1733 hartree per atom

Record 5
The following is a SCAN calculation of SrTlHg at its PBEsol-relaxed geometry, from Alexandria via LeMat-Bulk.

Unit cell a=3.847 b=3.847 c=11.579 alpha=90.00 beta=90.00 gamma=90.00
Space group I4mm (No. 107)
Asymmetric unit:
Sr: 0.000 0.000 0.000 [2 per cell]
Tl: 0.000 0.000 0.689 [2 per cell]
Hg: 0.000 0.000 0.334 [2 per cell]

Energy of formation from the pure elements ... -0.49 eV per atom
Polymorph energy (0 for the lowest one) ... 90 meV per atom
Size of the total moment ... 0.000 μB per atom
DOS(E_F) ... 0.372 states/eV/atom
Total DFT energy (no corrections) ... -2.0123 hartree per atom

Record 6
The following is a SCAN calculation of SrTl2Hg at its PBEsol-relaxed geometry, from Alexandria via LeMat-Bulk.

Unit cell a=4.749 b=4.749 c=4.934 alpha=90.00 beta=90.00 gamma=90.00
Space group P4/mmm (No. 123)
Asymmetric unit:
Sr: 0.000 0.000 0.000 [1 per cell]
Tl: 0.000 0.500 0.500 [2 per cell]
Hg: 0.500 0.500 0.000 [1 per cell]

Energy of formation from the pure elements ... -0.39 eV per atom
Size of the total moment ... 0.000 μB per atom
DOS(E_F) ... 0.508 states/eV/atom
Total DFT energy (no corrections) ... -2.1747 hartree per atom

Record 7
The following is a SCAN calculation of SrTl2Hg at its PBEsol-relaxed geometry, from Alexandria via LeMat-Bulk.

Unit cell a=4.778 b=4.778 c=9.909 alpha=90.00 beta=90.00 gamma=90.00
Space group I4/mmm (No. 139)
Asymmetric unit:
Sr: 0.000 0.000 0.000 [2 per cell]
Tl: 0.000 0.500 0.250 [4 per cell]
Hg: 0.000 0.000 0.500 [2 per cell]

Energy of formation from the pure elements ... -0.34 eV per atom
Size of the total moment ... 0.000 μB per atom
DOS(E_F) ... 0.584 states/eV/atom
Total DFT energy (no corrections) ... -2.1731 hartree per atom

Record 8
The following is a SCAN calculation of SrTlHg at its PBEsol-relaxed geometry, from Alexandria via LeMat-Bulk.

Unit cell a=7.253 b=7.253 c=7.253 alpha=90.00 beta=90.00 gamma=90.00
Space group F-43m (No. 216)
Asymmetric unit:
Sr: 0.000 0.000 0.000 [4 per cell]
Tl: 0.000 0.000 0.500 [4 per cell]
Hg: 0.250 0.250 0.250 [4 per cell]

Energy of formation from the pure elements ... -0.48 eV per atom
Polymorph energy (0 for the lowest one) ... 104 meV per atom
Size of the total moment ... 0.000 μB per atom
DOS(E_F) ... 1.132 states/eV/atom
Total DFT energy (no corrections) ... -2.0118 hartree per atom

Record 9
The following is a SCAN calculation of SrTl2Hg at its PBEsol-relaxed geometry, from Alexandria via LeMat-Bulk.

Unit cell a=3.881 b=3.881 c=7.489 alpha=90.00 beta=90.00 gamma=90.00
Space group P4mm (No. 99)
Asymmetric unit:
Sr: 0.000 0.000 0.000 [1 per cell]
Tl: 0.000 0.000 0.523 [1 per cell]
Tl: 0.500 0.500 0.287 [1 per cell]
Hg: 0.500 0.500 0.748 [1 per cell]

Energy of formation from the pure elements ... -0.36 eV per atom
Size of the total moment ... 0.000 μB per atom
DOS(E_F) ... 0.435 states/eV/atom
Total DFT energy (no corrections) ... -2.1738 hartree per atom

Record 10
The following is a SCAN calculation of SrTl2Hg2 at its PBEsol-relaxed geometry, from Alexandria via LeMat-Bulk.

Unit cell a=4.700 b=4.700 c=12.913 alpha=90.00 beta=90.00 gamma=90.00
Space group I4/mmm (No. 139)
Asymmetric unit:
Sr: 0.000 0.000 0.000 [2 per cell]
Tl: 0.000 0.500 0.250 [4 per cell]
Hg: 0.000 0.000 0.394 [4 per cell]

Energy of formation from the pure elements ... -0.34 eV per atom
Polymorph energy (0 for the lowest one) ... 36 meV per atom
Size of the total moment ... 0.000 μB per atom
DOS(E_F) ... 0.406 states/eV/atom
Total DFT energy (no corrections) ... -2.2419 hartree per atom

Record 11
The following is a SCAN calculation of SrTlHg at its PBEsol-relaxed geometry, from Alexandria via LeMat-Bulk.

Unit cell a=5.0859 b=5.0859 c=3.7959 alpha=90.00 beta=90.00 gamma=120.00
Space group P-6m2 (No. 187)
Asymmetric unit:
Sr: 0.0000 0.0000 0.0000 [1 per cell]
Tl: 0.3333 0.6667 0.5000 [1 per cell]
Hg: 0.6667 0.3333 0.5000 [1 per cell]

Energy of formation from the pure elements ... -0.58 eV per atom
Polymorph energy (0 for the lowest one) ... 0 meV per atom
Size of the total moment ... 0.000 μB per atom
DOS(E_F) ... 0.304 states/eV/atom
Total DFT energy (no corrections) ... -2.0157 hartree per atom

Record 12
The following is a SCAN calculation of SrTl2Hg2 at its PBEsol-relaxed geometry, from Alexandria via LeMat-Bulk.

Unit cell a=10.676 b=10.676 c=4.838 alpha=90.00 beta=90.00 gamma=90.00
Space group P4_2/mnm (No. 136)
Asymmetric unit:
Sr: 0.142 0.142 0.000 [4 per cell]
Tl: 0.022 0.354 0.500 [8 per cell]
Hg: 0.095 0.905 0.500 [4 per cell]
Hg: 0.195 0.805 0.000 [4 per cell]

Energy of formation from the pure elements ... -0.38 eV per atom
Polymorph energy (0 for the lowest one) ... 0 meV per atom
Size of the total moment ... 0.000 μB per atom
DOS(E_F) ... 0.388 states/eV/atom
Total DFT energy (no corrections) ... -2.2432 hartree per atom

Record 13
The following is a SCAN calculation of Sr3HgW at its PBEsol-relaxed geometry, from Alexandria via LeMat-Bulk.

Unit cell a=5.699 b=5.699 c=5.699 alpha=90.00 beta=90.00 gamma=90.00
Space group Pm-3m (No. 221)
Asymmetric unit:
Sr: 0.000 0.000 0.500 [3 per cell]
Hg: 0.500 0.500 0.500 [1 per cell]
W: 0.000 0.000 0.000 [1 per cell]

Energy of formation from the pure elements ... 0.95 eV per atom
Size of the total moment ... 0.000 μB per atom
DOS(E_F) ... 0.628 states/eV/atom
Total DFT energy (no corrections) ... -1.4694 hartree per atom

Record 14
The following is a SCAN calculation of SrYHg2 at its PBEsol-relaxed geometry, from Alexandria via LeMat-Bulk.

Unit cell a=5.366 b=5.366 c=3.710 alpha=90.00 beta=90.00 gamma=90.00
Space group P4/mmm (No. 123)
Asymmetric unit:
Sr: 0.000 0.000 0.000 [1 per cell]
Y: 0.500 0.500 0.000 [1 per cell]
Hg: 0.000 0.500 0.500 [2 per cell]

Energy of formation from the pure elements ... -0.70 eV per atom
Size of the total moment ... 0.000 μB per atom
DOS(E_F) ... 0.536 states/eV/atom
Total DFT energy (no corrections) ... -1.7389 hartree per atom